# 1
The following is a DFT calculation (PBE-GGA) of BeTlTc2 after structural relaxation.

a b c (Å): 3.029 3.029 6.693
angles (deg): 90.00 90.00 90.00
Fractional coordinates of all 4 atoms:
Be 0.000 0.000 0.000
Tl 0.500 0.500 0.702
Tc 0.000 0.000 0.385
Tc 0.500 0.500 0.155

Results
The calculation puts the energy above the lowest structure with this stoichiometry at 0.000 eV/atom. The value obtained for the theoretical density is 11.1 g/cm3. As for the total energy: -26.031 eV for the cell shown.



# 2
The following is a DFT calculation (PBE-GGA) of Be2TlTc after structural relaxation.

a b c (Å): 4.335 4.335 4.335
angles (deg): 60.00 60.00 60.00
Fractional coordinates of all 4 atoms:
Be 0.000 0.000 0.000
Be 0.250 0.250 0.250
Tl 0.500 0.500 0.500
Tc 0.750 0.750 0.750

Results
The calculation puts the energy above the lowest structure with this stoichiometry at 0.551 eV/atom. The value obtained for the theoretical density is 9.2 g/cm3. As for the total energy: -17.024 eV for the cell shown.



# 3
The following is a DFT calculation (PBE-GGA) of BeTl2Tc after structural relaxation.

a b c (Å): 3.063 3.063 8.135
angles (deg): 90.00 90.00 90.00
Fractional coordinates of all 4 atoms:
Be 0.000 0.000 0.000
Tl 0.500 0.500 0.241
Tl 0.500 0.500 0.759
Tc 0.000 0.000 0.500

Results
The calculation puts the energy above the lowest structure with this stoichiometry at 0.542 eV/atom. The value obtained for the theoretical density is 11.2 g/cm3. As for the total energy: -14.937 eV for the cell shown.



# 4
The following is a DFT calculation (PBE-GGA) of BeTlTc2 after structural relaxation.

a b c (Å): 3.822 3.822 4.219
angles (deg): 90.00 90.00 90.00
Fractional coordinates of all 4 atoms:
Be 0.000 0.000 0.000
Tl 0.500 0.500 0.000
Tc 0.000 0.500 0.500
Tc 0.500 0.000 0.500

Results
The calculation puts the energy above the lowest structure with this stoichiometry at 0.511 eV/atom. The value obtained for the theoretical density is 11.0 g/cm3. As for the total energy: -23.987 eV for the cell shown.



| no. | D(E_F) (states/eV/atom) |
| --- | --- |
| 1 | 0.5704 |
| 2 | 0.4883 |
| 3 | 0.8341 |
| 4 | 1.3701 |